The following is a DFT calculation (PBE-GGA) of a relaxed Er2LuIn3CuPt2 crystal.

Computed properties:
- spin magnetization (μB/cell) = 0.0
- E (eV for the cell shown) = -45.23

Unit cell a=3.6638 b=7.7225 c=7.7225 alpha=119.89 beta=90.00 gamma=90.00
Last column: nearest neighbours and their distance in Å.
Fractional positions:
In 0.5000 0.2567 0.0006  2 Cu 2.70, 2 Pt 2.91-2.94
In 0.5000 0.0006 0.2567  2 Cu 2.70, 2 Pt 2.91-2.94
In 0.5000 0.7434 0.7434  2 Cu 2.70, 2 Pt 2.91
Lu 0.0000 0.4102 0.4102  4 Pt 2.95, 2 In 3.16, 1 Cu 3.17
Er 0.0000 0.0000 0.5897  4 Pt 2.98, 6 In 3.16-3.33, 1 Cu 3.17
Pt 0.5000 0.6646 0.3342  3 In 2.91-2.94, 2 Lu 2.95, 4 Er 2.98
Er 0.0000 0.5897 0.0000  4 Pt 2.98, 6 In 3.16-3.33, 1 Cu 3.17
Pt 0.5000 0.3342 0.6646  3 In 2.91-2.94, 2 Lu 2.95, 4 Er 2.98
Cu 0.0000 0.0005 0.0005  6 In 2.70